one) Below is crystalline Sm2Dy2CI3Br2 at its relaxed geometry, with properties calculated at the PBE level.

Cell lengths 18.4944, 3.9498, 8.5706 Å; angles 90.00, 102.95, 90.00 degrees
Space group C2/m (No. 12)
One atom of each set of equivalent atoms:
Sm1 0.1369 0.0000 0.0640 [4 per cell]
Dy1 0.9995 0.5000 0.1904 [4 per cell]
C1 0.0000 0.0000 0.0000 [2 per cell]
I1 0.0000 0.0000 0.5000 [2 per cell]
I2 0.1673 0.5000 0.3496 [4 per cell]
Br1 0.1633 0.5000 0.8256 [4 per cell]

For the calculated volume, the calculation gives 305.1 Å³/f.u.


two) Below is crystalline Sm2Dy2CI3Br2 at its relaxed geometry, with properties calculated at the PBE level.

Cell lengths 18.7315, 3.9693, 8.7315 Å; angles 90.00, 102.57, 90.00 degrees
Space group C2/m (No. 12)
One atom of each set of equivalent atoms:
Sm1 0.0011 0.0000 0.3066 [4 per cell]
Dy1 0.1312 0.5000 0.5609 [4 per cell]
C1 0.0000 0.5000 0.5000 [2 per cell]
I1 0.0000 0.5000 0.0000 [2 per cell]
I2 0.1701 0.0000 0.8309 [4 per cell]
Br1 0.1660 0.0000 0.3467 [4 per cell]

For the calculated volume, the calculation gives 316.8 Å³/f.u.


Short version: two) is the most stable of them.


one) Below is crystalline Dy2Sc2CBr5 at its relaxed geometry, with properties calculated at the PBE level.

Cell lengths 17.6333, 3.7138, 8.1075 Å; angles 90.00, 102.84, 90.00 degrees
Space group C2/m (No. 12)
One atom of each set of equivalent atoms:
Dy1 0.0008 0.0000 0.2979 [4 per cell]
Sc1 0.1306 0.5000 0.5666 [4 per cell]
C1 0.0000 0.5000 0.5000 [2 per cell]
Br1 0.0000 0.5000 0.0000 [2 per cell]
Br2 0.1658 0.0000 0.8192 [4 per cell]
Br3 0.1694 0.0000 0.3474 [4 per cell]

For the calculated volume, the calculation gives 258.8 Å³/f.u.


two) Below is crystalline Dy2Sc2CBr5 at its relaxed geometry, with properties calculated at the PBE level.

Cell lengths 17.4221, 3.7110, 7.8270 Å; angles 90.00, 103.20, 90.00 degrees
Space group C2/m (No. 12)
One atom of each set of equivalent atoms:
Dy1 0.1391 0.0000 0.0722 [4 per cell]
Sc1 0.0000 0.5000 0.1917 [4 per cell]
C1 0.0000 0.0000 0.0000 [2 per cell]
Br1 0.0000 0.0000 0.5000 [2 per cell]
Br2 0.1603 0.5000 0.3495 [4 per cell]
Br3 0.1662 0.5000 0.8150 [4 per cell]

For the calculated volume, the calculation gives 246.3 Å³/f.u.


Short version: one) is the most stable of them.


one) Below is crystalline Pr2Ho2CI2Br3 at its relaxed geometry, with properties calculated at the PBE level.

Cell lengths 18.4247, 3.9128, 8.3705 Å; angles 90.00, 102.32, 90.00 degrees
Space group C2/m (No. 12)
One atom of each set of equivalent atoms:
Pr1 0.1409 0.0000 0.0671 [4 per cell]
Ho1 0.0016 0.5000 0.8044 [4 per cell]
C1 0.0000 0.0000 0.0000 [2 per cell]
I1 0.1630 0.5000 0.3653 [4 per cell]
Br1 0.0000 0.0000 0.5000 [2 per cell]
Br2 0.1631 0.5000 0.8089 [4 per cell]

For the calculated volume, the calculation gives 294.8 Å³/f.u.


two) Below is crystalline Pr2Ho2CI2Br3 at its relaxed geometry, with properties calculated at the PBE level.

Cell lengths 18.7478, 3.9637, 8.5501 Å; angles 90.00, 101.29, 90.00 degrees
Space group C2/m (No. 12)
One atom of each set of equivalent atoms:
Pr1 0.0030 0.0000 0.2952 [4 per cell]
Ho1 0.1301 0.5000 0.5608 [4 per cell]
C1 0.0000 0.5000 0.5000 [2 per cell]
I1 0.1693 0.0000 0.8337 [4 per cell]
Br1 0.0000 0.5000 0.0000 [2 per cell]
Br2 0.1705 0.0000 0.3478 [4 per cell]

For the calculated volume, the calculation gives 311.5 Å³/f.u.


three) Below is crystalline Pr2Ho2CI2Br3 at its relaxed geometry, with properties calculated at the PBE level.

Cell lengths 18.9590, 3.9729, 8.4777 Å; angles 90.00, 102.31, 90.00 degrees
Space group C2/m (No. 12)
One atom of each set of equivalent atoms:
Pr1 0.9996 0.0000 0.2072 [4 per cell]
Ho1 0.1293 0.5000 0.0664 [4 per cell]
C1 0.0000 0.5000 0.0000 [2 per cell]
I1 0.1735 0.0000 0.8270 [4 per cell]
Br1 0.0000 0.5000 0.5000 [2 per cell]
Br2 0.1622 0.0000 0.3156 [4 per cell]

For the calculated volume, the calculation gives 311.9 Å³/f.u.


Short version: three) is the most stable of them.


one) Below is crystalline Ho2Sc2CI2Br3 at its relaxed geometry, with properties calculated at the PBE level.

Cell lengths 18.1745, 3.7735, 7.9661 Å; angles 90.00, 101.56, 90.00 degrees
Space group C2/m (No. 12)
One atom of each set of equivalent atoms:
Ho1 0.1317 0.0000 0.0672 [4 per cell]
Sc1 0.0008 0.5000 0.8119 [4 per cell]
C1 0.0000 0.0000 0.0000 [2 per cell]
I1 0.1685 0.5000 0.7999 [4 per cell]
Br1 0.0000 0.0000 0.5000 [2 per cell]
Br2 0.1516 0.5000 0.3348 [4 per cell]

For the calculated volume, the calculation gives 267.6 Å³/f.u.


two) Below is crystalline Ho2Sc2CI2Br3 at its relaxed geometry, with properties calculated at the PBE level.

Cell lengths 19.8339, 3.7684, 8.0443 Å; angles 90.00, 101.44, 90.00 degrees
Space group C2/m (No. 12)
One atom of each set of equivalent atoms:
Ho1 0.0012 0.0000 0.2990 [4 per cell]
Sc1 0.1148 0.5000 0.5625 [4 per cell]
C1 0.0000 0.5000 0.5000 [2 per cell]
I1 0.1595 0.0000 0.3282 [4 per cell]
Br1 0.0000 0.5000 0.0000 [2 per cell]
Br2 0.1467 0.0000 0.8127 [4 per cell]

For the calculated volume, the calculation gives 294.7 Å³/f.u.


three) Below is crystalline Ho2Sc2CI2Br3 at its relaxed geometry, with properties calculated at the PBE level.

Cell lengths 19.5993, 3.7825, 7.9223 Å; angles 90.00, 101.04, 90.00 degrees
Space group C2/m (No. 12)
One atom of each set of equivalent atoms:
Ho1 0.1206 0.0000 0.0522 [4 per cell]
Sc1 0.0003 0.5000 0.1900 [4 per cell]
C1 0.0000 0.0000 0.0000 [2 per cell]
I1 0.1547 0.5000 0.3479 [4 per cell]
Br1 0.0000 0.0000 0.5000 [2 per cell]
Br2 0.1468 0.5000 0.8081 [4 per cell]

For the calculated volume, the calculation gives 288.2 Å³/f.u.


Short version: two) is the most stable of them.


one) Below is crystalline Ho2Sc2CI3Br2 at its relaxed geometry, with properties calculated at the PBE level.

Cell lengths 19.9260, 3.8096, 8.4264 Å; angles 90.00, 102.44, 90.00 degrees
Space group C2/m (No. 12)
One atom of each set of equivalent atoms:
Ho1 0.0000 0.0000 0.1914 [4 per cell]
Sc1 0.1143 0.5000 0.0622 [4 per cell]
C1 0.0000 0.5000 0.0000 [2 per cell]
I1 0.0000 0.5000 0.5000 [2 per cell]
I2 0.1575 0.0000 0.8394 [4 per cell]
Br1 0.1479 0.0000 0.3019 [4 per cell]

For the calculated volume, the calculation gives 312.3 Å³/f.u.


two) Below is crystalline Ho2Sc2CI3Br2 at its relaxed geometry, with properties calculated at the PBE level.

Cell lengths 19.6546, 3.8295, 8.1408 Å; angles 90.00, 101.35, 90.00 degrees
Space group C2/m (No. 12)
One atom of each set of equivalent atoms:
Ho1 0.1202 0.0000 0.0519 [4 per cell]
Sc1 0.0003 0.5000 0.1823 [4 per cell]
C1 0.0000 0.0000 0.0000 [2 per cell]
I1 0.0000 0.0000 0.5000 [2 per cell]
I2 0.1547 0.5000 0.3393 [4 per cell]
Br1 0.1469 0.5000 0.8162 [4 per cell]

For the calculated volume, the calculation gives 300.4 Å³/f.u.


Short version: one) is the most stable of them.


one) Below is crystalline Ho2Sc2CIBr4 at its relaxed geometry, with properties calculated at the PBE level.

Cell lengths 19.4326, 3.7562, 8.4410 Å; angles 90.00, 102.33, 90.00 degrees
Space group C2/m (No. 12)
One atom of each set of equivalent atoms:
Ho1 0.9999 0.0000 0.1919 [4 per cell]
Sc1 0.1171 0.5000 0.0580 [4 per cell]
C1 0.0000 0.5000 0.0000 [2 per cell]
I1 0.0000 0.5000 0.5000 [2 per cell]
Br1 0.1516 0.0000 0.2983 [4 per cell]
Br2 0.1524 0.0000 0.8510 [4 per cell]

For the calculated volume, the calculation gives 301.0 Å³/f.u.


two) Below is crystalline Ho2Sc2CIBr4 at its relaxed geometry, with properties calculated at the PBE level.

Cell lengths 17.4490, 3.7615, 8.0872 Å; angles 90.00, 103.70, 90.00 degrees
Space group C2/m (No. 12)
One atom of each set of equivalent atoms:
Ho1 0.1380 0.0000 0.0718 [4 per cell]
Sc1 0.0002 0.5000 0.1839 [4 per cell]
C1 0.0000 0.0000 0.0000 [2 per cell]
I1 0.0000 0.0000 0.5000 [2 per cell]
Br1 0.1619 0.5000 0.3381 [4 per cell]
Br2 0.1668 0.5000 0.8284 [4 per cell]

For the calculated volume, the calculation gives 257.8 Å³/f.u.


Short version: one) is the most stable of them.